1.
VASP calculation (GGA-PBE) on an optimized crystal structure of CuP2I.

a = 6.640 Å, b = 6.640 Å, c = 6.640 Å
α = 90.00°, β = 90.00°, γ = 90.00°
Positions (direct):
Cu1 0.000 0.000 0.000
Cu2 0.000 0.500 0.500
Cu3 0.500 0.000 0.500
Cu4 0.500 0.500 0.000
P1 0.250 0.250 0.250
P2 0.250 0.250 0.750
P3 0.250 0.750 0.250
P4 0.250 0.750 0.750
P5 0.750 0.250 0.250
P6 0.750 0.250 0.750
P7 0.750 0.750 0.250
P8 0.750 0.750 0.750
I1 0.000 0.000 0.500
I2 0.000 0.500 0.000
I3 0.500 0.000 0.000
I4 0.500 0.500 0.500

Properties
E_form (uncorrected): 1.087 eV/atom
Calculated volume: 293 Å³/cell
ρ: 5.73 Mg/m³
SG: Fm-3m

---

2.
VASP calculation (GGA-PBE) on an optimized crystal structure of SmEr2ScP4.

a = 6.846 Å, b = 3.961 Å, c = 6.854 Å
α = 90.00°, β = 109.46°, γ = 90.00°
Positions (direct):
Sm1 0.000 0.000 0.000
Er1 0.000 0.500 0.500
Er2 0.500 0.000 0.500
Sc1 0.500 0.500 0.000
P1 0.260 0.500 0.252
P2 0.261 0.000 0.755
P3 0.739 0.000 0.245
P4 0.740 0.500 0.748

Properties
Calculated volume: 175 Å³/cell
ρ: 6.20 Mg/m³
DFT formation energy: -1.540 eV/atom
SG: P2/m

---

3.
VASP calculation (GGA-PBE) on an optimized crystal structure of K3La2ErO6.

a = 6.293 Å, b = 6.293 Å, c = 6.624 Å
α = 99.09°, β = 99.09°, γ = 120.03°
Positions (direct):
K1 0.000 0.000 0.000
K2 0.337 0.663 0.000
K3 0.663 0.337 0.000
La1 0.167 0.833 0.500
La2 0.833 0.167 0.500
Er1 0.500 0.500 0.500
O1 0.120 0.437 0.311
O2 0.246 0.246 0.688
O3 0.437 0.120 0.311
O4 0.563 0.880 0.689
O5 0.754 0.754 0.312
O6 0.880 0.563 0.689

Properties
E_form (uncorrected): -2.698 eV/atom
Calculated volume: 215 Å³/cell
ρ: 5.07 Mg/m³
SG: C2/m